1.
The following is a DFT calculation (GGA-PBEsol) of a geometry-optimized FeTe3N structure.

Computed properties:
Uncorrected energy   -21.2 eV per cell
Space-group type   Pm-3m (221)
Formation energy from raw total energies   1.37 eV/atom

Unit cell a=5.0326 b=5.0326 c=5.0326 alpha=90.00 beta=90.00 gamma=90.00
With the nearest neighbours (Å) after each atom.
Fractional coordinates of all 5 atoms:
Te: 0.0000 0.5000 0.0000  2 Fe 2.52
Te: 0.0000 0.0000 0.5000  2 Fe 2.52
Te: 0.5000 0.0000 0.0000  2 Fe 2.52
Fe: 0.0000 0.0000 0.0000  6 Te 2.52
N: 0.5000 0.5000 0.5000  12 Te 3.56



2.
The following is a DFT calculation (GGA-PBEsol) of a geometry-optimized RbMnRe3 structure.

Computed properties:
Uncorrected energy   -40.4 eV per cell
Space-group type   Pm-3m (221)
Energy of formation from the pure elements   2.080 eV per atom

Unit cell a=4.5664 b=4.5664 c=4.5664 alpha=90.00 beta=90.00 gamma=90.00
With the nearest neighbours (Å) after each atom.
Fractional coordinates of all 5 atoms:
Re: 0.0000 0.5000 0.0000  2 Mn 2.28
Re: 0.0000 0.0000 0.5000  2 Mn 2.28
Re: 0.5000 0.0000 0.0000  2 Mn 2.28
Mn: 0.0000 0.0000 0.0000  6 Re 2.28
Rb: 0.5000 0.5000 0.5000  12 Re 3.23



Number 1: magnetization 5.5 μB/cell. Number 2: magnetization 2.4 μB/cell.